(1)
Below is a geometry-optimized MoPdSe4 structure, with properties calculated at the PBE-GGA level.

a b c (Å): 3.689 6.080 6.080
angles (deg): 92.76 90.00 90.00
Sites, in units of the cell vectors:
Mo 0.000 0.500 0.500
Se 0.500 0.301 0.699
Se 0.500 0.699 0.301
Se 0.000 0.796 0.796
Se 0.000 0.204 0.204
Pd 0.500 0.000 0.000

Properties
Formation energy without anion corrections (meV/atom): -125
Size of the total moment (μB/atom): 0.0000
Calculated volume (Å³/cell): 136



(2)
Below is a geometry-optimized Ba2Tl5Ag structure, with properties calculated at the PBE-GGA level.

a b c (Å): 5.103 10.073 10.837
angles (deg): 90.00 90.00 104.67
Sites, in units of the cell vectors:
Tl 0.360 0.720 0.536
Tl 0.594 0.188 0.750
Tl 0.808 0.615 0.101
Tl 0.192 0.385 0.601
Tl 0.360 0.720 0.964
Tl 0.406 0.812 0.250
Tl 0.808 0.615 0.399
Tl 0.640 0.280 0.464
Tl 0.640 0.280 0.036
Tl 0.192 0.385 0.899
Ag 0.552 0.104 0.250
Ag 0.448 0.896 0.750
Ba 0.000 0.000 0.500
Ba 0.000 0.000 0.000
Ba 0.203 0.406 0.250
Ba 0.797 0.594 0.750

Properties
Size of the total moment (μB/atom): 0.0000
Formation energy (meV/atom): -262
Calculated volume (Å³/cell): 539



(3)
Below is a geometry-optimized CdAgRhCl6 structure, with properties calculated at the PBE-GGA level.

a b c (Å): 6.509 6.509 11.702
angles (deg): 90.00 90.00 120.00
Sites, in units of the cell vectors:
Cl 0.966 0.339 0.132
Cl 0.034 0.661 0.868
Cl 0.627 0.966 0.868
Cl 0.339 0.373 0.868
Cl 0.966 0.627 0.368
Cl 0.373 0.034 0.132
Cl 0.661 0.034 0.368
Cl 0.627 0.661 0.632
Cl 0.373 0.339 0.368
Cl 0.034 0.373 0.632
Cl 0.339 0.966 0.632
Cl 0.661 0.627 0.132
Ag 0.000 0.000 0.500
Ag 0.000 0.000 0.000
Cd 0.667 0.333 0.750
Cd 0.333 0.667 0.250
Rh 0.667 0.333 0.250
Rh 0.333 0.667 0.750

Properties
Formation energy without anion corrections (meV/atom): -716
Size of the total moment (μB/atom): 0.0000
Calculated volume (Å³/cell): 429



(4)
Below is a geometry-optimized Pm2H2Br5 structure, with properties calculated at the PBE-GGA level.

a b c (Å): 6.603 6.603 9.115
angles (deg): 107.01 107.01 101.09
Site moments in Bohr magnetons follow the coordinates.
Sites, in units of the cell vectors:
Br 0.000 0.000 0.000  0.03
Br 0.122 0.622 0.243  0.01
Br 0.878 0.378 0.757  0.01
Br 0.378 0.878 0.757  0.01
Br 0.622 0.122 0.243  0.01
H 0.250 0.250 0.500  0.38
H 0.750 0.750 0.500  0.38
Pm 0.718 0.282 0.000  0.17
Pm 0.282 0.718 0.000  0.17

Properties
Size of the total moment (μB/atom): 0.3346
Final energy (eV per atom): -3.4636
Calculated volume (Å³/cell): 346



(5)
Below is a geometry-optimized Ti5Nb2ZnFe2 structure, with properties calculated at the PBE-GGA level.

a b c (Å): 3.008 10.298 10.298
angles (deg): 90.00 90.00 90.00
Sites, in units of the cell vectors:
Ti 0.500 0.792 0.940
Ti 0.500 0.708 0.440
Ti 0.500 0.000 0.500
Ti 0.500 0.440 0.292
Ti 0.500 0.292 0.560
Ti 0.500 0.060 0.792
Ti 0.500 0.940 0.208
Ti 0.500 0.500 0.000
Ti 0.500 0.560 0.708
Ti 0.500 0.208 0.060
Fe 0.000 0.631 0.869
Fe 0.000 0.131 0.631
Fe 0.000 0.869 0.369
Fe 0.000 0.369 0.131
Nb 0.000 0.175 0.325
Nb 0.000 0.325 0.825
Nb 0.000 0.675 0.175
Nb 0.000 0.825 0.675
Zn 0.000 0.500 0.500
Zn 0.000 0.000 0.000

Properties
Size of the total moment (μB/atom): 0.0000
Formation energy (meV/atom): -97
Calculated volume (Å³/cell): 319



(6)
Below is a geometry-optimized U5Fe structure, with properties calculated at the PBE-GGA level.

a b c (Å): 3.189 5.283 7.326
angles (deg): 111.13 90.00 90.00
Site moments in Bohr magnetons follow the coordinates.
Sites, in units of the cell vectors:
Fe 0.000 0.000 0.000  -0.14
U 0.500 0.500 0.000  0.97
U 0.500 0.153 0.306  0.06
U 0.500 0.847 0.694  0.06
U 0.000 0.679 0.358  0.15
U 0.000 0.321 0.642  0.15

Properties
Size of the total moment (μB/atom): 0.2161
Formation energy (meV/atom): 162
Calculated volume (Å³/cell): 115



(7)
Below is a geometry-optimized Tb4Dy11Tm9 structure, with properties calculated at the PBE-GGA level.

a b c (Å): 3.628 14.942 14.942
angles (deg): 112.93 90.00 90.00
Sites, in units of the cell vectors:
Tb 0.500 0.756 0.554
Tb 0.500 0.446 0.244
Tb 0.500 0.244 0.446
Tb 0.500 0.554 0.756
Dy 0.000 0.633 0.367
Dy 0.000 0.593 0.956
Dy 0.000 0.291 0.291
Dy 0.000 0.000 0.000
Dy 0.000 0.367 0.633
Dy 0.000 0.044 0.407
Dy 0.000 0.709 0.709
Dy 0.000 0.840 0.160
Dy 0.000 0.407 0.044
Dy 0.000 0.160 0.840
Dy 0.000 0.956 0.593
Tm 0.500 0.932 0.787
Tm 0.500 0.500 0.500
Tm 0.500 0.368 0.836
Tm 0.500 0.164 0.632
Tm 0.500 0.213 0.068
Tm 0.500 0.632 0.164
Tm 0.500 0.836 0.368
Tm 0.500 0.068 0.213
Tm 0.500 0.787 0.932

Properties
Size of the total moment (μB/atom): 0.0000
Formation energy (meV/atom): 54
Calculated volume (Å³/cell): 746



(8)
Below is a geometry-optimized Dy12HoEr7 structure, with properties calculated at the PBE-GGA level.

a b c (Å): 8.617 8.617 8.617
angles (deg): 94.97 94.97 94.97
Sites, in units of the cell vectors:
Er 0.020 0.083 0.352
Er 0.352 0.020 0.083
Er 0.500 0.500 0.500
Er 0.917 0.648 0.980
Er 0.648 0.980 0.917
Er 0.083 0.352 0.020
Er 0.980 0.917 0.648
Dy 0.147 0.416 0.478
Dy 0.584 0.522 0.853
Dy 0.814 0.250 0.686
Dy 0.522 0.853 0.584
Dy 0.750 0.314 0.186
Dy 0.853 0.584 0.522
Dy 0.250 0.686 0.814
Dy 0.478 0.147 0.416
Dy 0.186 0.750 0.314
Dy 0.314 0.186 0.750
Dy 0.416 0.478 0.147
Dy 0.686 0.814 0.250
Ho 0.000 0.000 0.000

Properties
Size of the total moment (μB/atom): 0.0000
E above lowest polymorph (eV/atom): 0.0000
Formation energy (meV/atom): 302
Calculated volume (Å³/cell): 632



(9)
Below is a geometry-optimized BaAl4Re structure, with properties calculated at the PBE-GGA level.

a b c (Å): 5.477 5.477 5.477
angles (deg): 60.00 60.00 60.00
Sites, in units of the cell vectors:
Al 0.879 0.374 0.374
Al 0.374 0.374 0.879
Al 0.374 0.879 0.374
Al 0.374 0.374 0.374
Re 0.000 0.000 0.000
Ba 0.750 0.750 0.750

Properties
Size of the total moment (μB/atom): 0.0000
Formation energy (meV/atom): 386
Calculated volume (Å³/cell): 116



(10)
Below is a geometry-optimized Pm6Bi5Br structure, with properties calculated at the PBE-GGA level.

a b c (Å): 7.874 7.898 7.886
angles (deg): 59.95 80.40 70.54
Sites, in units of the cell vectors:
Bi 0.000 0.333 0.334
Bi 0.500 0.164 0.671
Bi 0.000 0.667 0.666
Bi 0.500 0.836 0.329
Bi 0.500 0.500 0.000
Br 0.000 0.000 0.000
Pm 0.746 0.085 0.341
Pm 0.746 0.426 0.659
Pm 0.254 0.574 0.341
Pm 0.254 0.915 0.659
Pm 0.255 0.257 0.000
Pm 0.745 0.743 0.000

Properties
Formation energy without anion corrections (meV/atom): -987
Size of the total moment (μB/atom): 0.0000
Calculated volume (Å³/cell): 400



(11)
Below is a geometry-optimized CaLa2Tb3Pm6 structure, with properties calculated at the PBE-GGA level.

a b c (Å): 6.345 6.345 12.109
angles (deg): 95.02 95.02 120.03
Sites, in units of the cell vectors:
Tb 0.166 0.834 0.500
Tb 0.500 0.500 0.500
Tb 0.834 0.166 0.500
La 0.333 0.667 0.000
La 0.667 0.333 0.000
Pm 0.424 0.087 0.257
Pm 0.576 0.913 0.743
Pm 0.250 0.250 0.742
Pm 0.087 0.424 0.257
Pm 0.750 0.750 0.258
Pm 0.913 0.576 0.743
Ca 0.000 0.000 0.000

Properties
Size of the total moment (μB/atom): 0.0000
Formation energy (meV/atom): 35
Calculated volume (Å³/cell): 416



(12)
Below is a geometry-optimized AcLaPr2Sb4 structure, with properties calculated at the PBE-GGA level.

a b c (Å): 4.639 8.036 8.030
angles (deg): 70.56 90.00 90.00
Sites, in units of the cell vectors:
Sb 0.500 0.244 0.747
Sb 0.500 0.756 0.253
Sb 0.000 0.241 0.258
Sb 0.000 0.759 0.742
Pr 0.500 0.000 0.500
Pr 0.000 0.000 0.000
Ac 0.500 0.500 0.000
La 0.000 0.500 0.500

Properties
Formation energy without anion corrections (meV/atom): -1211
Size of the total moment (μB/atom): 0.0000
Calculated volume (Å³/cell): 282